Record 1
## Sc3CoN (PBE)

Data for crystalline Sc3CoN at its relaxed geometry.

Values from the calculation:
- ΔE_f (raw) (eV per atom) = -0.728
- density (kg/m³) = 4202
- E (eV per atom) = -7.613

a b c (Å): 4.347 4.347 4.347
angles (deg): 90.00 90.00 90.00
Positions (direct):
Sc  0.000  0.500  0.000
Sc  0.500  0.000  0.000
Sc  0.000  0.000  0.500
Co  0.500  0.500  0.500
N  0.000  0.000  0.000



Record 2
## Sn2Hg2Se (PBE)

Data for crystalline Sn2Hg2Se at its relaxed geometry.

Values from the calculation:
- ΔE_f (raw) (eV per atom) = 0.204
- density (kg/m³) = 8600
- E (eV per atom) = -2.215
- energy above the lowest structure with this stoichiometry (eV per formula unit) = 1.076

a b c (Å): 4.172 4.172 8.489
angles (deg): 75.78 75.78 90.00
Positions (direct):
Hg  0.410  0.410  0.180
Hg  0.590  0.590  0.820
Sn  0.750  0.250  0.500
Sn  0.250  0.750  0.500
Se  0.000  0.000  0.000



Record 3
## V3BMo (PBE)

Data for crystalline V3BMo at its relaxed geometry.

Values from the calculation:
- density (kg/m³) = 4806
- E (eV per atom) = -6.932
- energy above the lowest structure with this stoichiometry (eV per formula unit) = 10.178
- formation energy from the elements (meV/atom) = 2040.6

a b c (Å): 4.476 4.476 4.476
angles (deg): 90.00 90.00 90.00
Positions (direct):
V  0.500  0.000  0.000
V  0.000  0.000  0.500
V  0.000  0.500  0.000
B  0.500  0.500  0.500
Mo  0.000  0.000  0.000



Record 4
## MoWSe2 (PBE)

Data for crystalline MoWSe2 at its relaxed geometry.

Values from the calculation:
- ΔE_f (raw) (eV per atom) = 0.829
- density (kg/m³) = 10612
- E (eV per atom) = -6.859
- energy above the lowest structure with this stoichiometry (eV per formula unit) = 3.937

a b c (Å): 4.593 4.593 4.593
angles (deg): 60.00 60.00 60.00
Positions (direct):
Mo  0.500  0.500  0.500
Se  0.000  0.000  0.000
Se  0.250  0.250  0.250
W  0.750  0.750  0.750



Record 5
## BeGa3Pd (PBE)

Data for crystalline BeGa3Pd at its relaxed geometry.

Values from the calculation:
- density (kg/m³) = 6350
- E (eV per atom) = -3.361
- energy above the lowest structure with this stoichiometry (eV per formula unit) = 0.000
- formation energy from the elements (meV/atom) = 238.8

a b c (Å): 4.395 4.395 4.395
angles (deg): 90.00 90.00 90.00
Positions (direct):
Ga  0.000  0.500  0.000
Ga  0.000  0.000  0.500
Ga  0.500  0.000  0.000
Pd  0.500  0.500  0.500
Be  0.000  0.000  0.000



Record 6
## Rb2MnCoSe4 (PBE)

Data for crystalline Rb2MnCoSe4 at its relaxed geometry.

Values from the calculation:
- ΔE_f (raw) (eV per atom) = -0.737
- density (kg/m³) = 4150
- E (eV per atom) = -4.756

a b c (Å): 5.554 7.573 12.594
angles (deg): 85.36 77.26 68.49
Positions (direct):
Rb  0.179  0.000  0.642
Rb  0.929  0.500  0.142
Rb  0.571  0.500  0.858
Rb  0.821  0.000  0.358
Se  0.460  0.690  0.392
Se  0.290  0.810  0.108
Se  0.543  0.310  0.608
Se  0.850  0.690  0.608
Se  0.900  0.810  0.892
Se  0.207  0.190  0.892
Se  0.148  0.310  0.392
Se  0.602  0.190  0.108
Mn  0.750  0.500  0.500
Mn  0.000  0.000  0.000
Co  0.500  0.000  0.000
Co  0.250  0.500  0.500